Ba3RhI3 (GGA-PBE, optimized geometry); energy = -3.649 eV per atom; magnetic moment = 0.00 μB/cell; ΔE_f (raw) = -1.1108 eV per atom; space group = C2/m
1.0
-8.517 0.518 3.890
5.328 -7.312 2.471
4.594 7.434 3.807
Ba Rh I
6 2 6
direct
0.809 0.535 0.775
0.535 0.809 0.775
0.080 0.080 0.745
0.920 0.920 0.255
0.465 0.191 0.225
0.191 0.465 0.225
0.147 0.147 0.065
0.853 0.853 0.935
0.336 0.336 0.564
0.274 0.726 0.000
0.664 0.664 0.436
0.811 0.189 0.500
0.189 0.811 0.500
0.726 0.274 0.000

***

Pm2Zn2Ge (GGA-PBE, optimized geometry); energy = -3.842 eV per atom; E_form = -0.509 eV/atom; magnetic moment = 0.00 μB/cell; space group = C2/m
1.0
4.195 0.000 0.000
2.098 5.587 -0.090
2.098 0.716 10.029
Zn Pm Ge
4 4 2
direct
0.630 0.856 0.884
0.370 0.144 0.116
0.031 0.348 0.590
0.969 0.652 0.410
0.098 0.701 0.104
0.297 0.765 0.641
0.703 0.235 0.359
0.902 0.299 0.896
0.424 0.833 0.318
0.576 0.167 0.682

***

La3Ho3Hg2 (GGA-PBE, optimized geometry); energy = -3.828 eV per atom; E_form = -0.188 eV/atom; magnetic moment = 0.00 μB/cell; space group = Cmcm
1.0
5.235 0.000 0.000
-2.617 5.975 0.000
0.000 0.000 16.187
Hg La Ho
4 6 6
direct
0.235 0.470 0.122
0.235 0.470 0.378
0.765 0.530 0.622
0.765 0.530 0.878
0.710 0.419 0.250
0.960 0.920 0.108
0.290 0.581 0.750
0.040 0.080 0.892
0.040 0.080 0.608
0.960 0.920 0.392
0.425 0.850 0.250
0.641 0.282 0.036
0.641 0.282 0.464
0.359 0.718 0.964
0.359 0.718 0.536
0.575 0.150 0.750

***

Sc2AlCl (GGA-PBE, optimized geometry); energy = -5.322 eV per atom; magnetic moment = 0.00 μB/cell; ΔE_f (raw) = -0.7585 eV per atom; space group = P4/mmm
1.0
5.033 0.000 0.000
0.000 3.369 0.002
0.000 -0.004 5.032
Sc Cl Al
2 1 1
direct
0.500 0.000 0.375
0.000 0.000 0.875
0.500 0.000 0.875
0.000 0.500 0.375

***

YAg2Se2 (GGA-PBE, optimized geometry); energy = -4.390 eV per atom; magnetic moment = 0.00 μB/cell; ΔE_f (raw) = -0.5633 eV per atom; space group = P4/mbm
1.0
-3.210 -4.121 -5.529
6.199 -4.396 -0.323
-1.577 -2.423 2.721
Ag Se Y
4 4 2
direct
0.365 0.135 0.500
0.135 0.635 0.500
0.865 0.365 0.500
0.635 0.865 0.500
0.674 0.174 0.000
0.174 0.326 0.000
0.826 0.674 0.000
0.326 0.826 0.000
0.000 0.000 0.000
0.500 0.500 0.000

***

BeIn2Mo (GGA-PBE, optimized geometry); energy = -4.206 eV per atom; E_form = 0.802 eV/atom; magnetic moment = 0.00 μB/cell; space group = F-43m
1.0
4.641 0.000 0.000
2.320 4.019 0.000
2.320 1.340 3.789
Mo In Be
1 2 1
direct
0.750 0.750 0.750
0.000 0.000 0.000
0.250 0.250 0.250
0.500 0.500 0.500